{"formula": "Pu2Pa2Ge4Rh", "functional": "PBE", "state": "relaxed", "density_g_cm3": 11.181, "energy_ev_per_cell": -75.8, "magnetic_moment_mub_per_fu": 12.8, "formation_enthalpy_0k_ev_per_atom": -0.26, "spacegroup": "I4/mmm (139)", "cell": [[6.3822, 0.3025, 0.4366], [-2.7982, 5.7441, -0.4366], [-2.7982, -2.4269, 5.2245]], "species": ["Ge", "Ge", "Ge", "Ge", "Rh", "Pa", "Pa", "Pu", "Pu"], "fractional_positions": [[0.0000, 0.2458, 0.7542], [0.5084, 0.7542, 0.7542], [0.4916, 0.2458, 0.2458], [0.0000, 0.7542, 0.2458], [0.0000, 0.0000, 0.0000], [0.5000, 0.2500, 0.7500], [0.5000, 0.7500, 0.2500], [0.0000, 0.6769, 0.6769], [0.0000, 0.3231, 0.3231]]}

=====

{"formula": "PuPaGeSb", "functional": "PBE", "state": "relaxed", "density_g_cm3": 11.358, "e_form_raw_ev_per_atom": -0.354, "energy_ev_per_cell": -34.0, "magnetic_moment_mub_per_fu": 6.2, "spacegroup": "F-43m (216)", "cell": [[5.1728, 0.0000, 0.0000], [2.5864, 4.4798, 0.0000], [2.5864, 1.4933, 4.2236]], "species": ["Pu", "Pa", "Sb", "Ge"], "fractional_positions": [[0.5000, 0.5000, 0.5000], [0.0000, 0.0000, 0.0000], [0.2500, 0.2500, 0.2500], [0.7500, 0.7500, 0.7500]]}

=====

{"formula": "PuPaTcGe", "functional": "PBE", "state": "relaxed", "density_g_cm3": 12.306, "energy_ev_per_cell": -40.1, "magnetic_moment_mub_per_fu": 5.8, "formation_enthalpy_0k_ev_per_atom": -0.33, "e_above_lowest_polymorph_ev_per_atom": 0.000, "spacegroup": "Amm2 (38)", "cell": [[-4.0892, -0.4669, 0.1329], [0.4478, -3.6934, 0.8033], [2.0856, 1.4196, 5.3640]], "species": ["Pu", "Ge", "Pa", "Tc"], "fractional_positions": [[0.8493, 0.5000, 0.6985], [0.4267, 0.0000, 0.8533], [0.1311, 0.0000, 0.2623], [0.5929, 0.5000, 0.1859]]}